A plane-wave DFT calculation with PBE-GGA was carried out for a relaxed Cu3Pd crystal.

The calculated formation energy comes out at -107 meV/atom. As for the volume: 12.709 Å³/atom.

The structure belongs to space group P4/mmm (No. 123); the cell edges are 3.7196, 3.7196 and 25.7190 Å and the angles 90.00°, 90.00° and 90.00°. The inequivalent atoms are Cu at (0.0000, 0.0000, 0.0000), Cu at (0.0000, 0.0000, 0.1429), Cu at (0.0000, 0.5000, 0.0714), Cu at (0.0000, 0.5000, 0.2143), Cu at (0.0000, 0.5000, 0.3571), Cu at (0.0000, 0.5000, 0.5000), Cu at (0.5000, 0.5000, 0.2857), Cu at (0.5000, 0.5000, 0.4286), Pd at (0.0000, 0.0000, 0.2857), Pd at (0.0000, 0.0000, 0.4286), Pd at (0.5000, 0.5000, 0.0000) and Pd at (0.5000, 0.5000, 0.1429).